# 1
A plane-wave DFT calculation with PBE was carried out for a geometry-optimized RbPrCdCl6 structure. Values from VASP.

Calculated values
Raw total energy ... -3.800 eV/atom
Space-group type ... No. 163
Magnetization ... 0.0 μB per formula unit
Fermi-level density of states ... 0.00 states/eV/f.u.
ΔE_f (raw) ... -1829 meV/atom

Quantum ESPRESSO input file:
```
&SYSTEM
  ibrav = 0, nat = 18, ntyp = 4
/
ATOMIC_SPECIES
Rb 85.47 Rb.upf
Pr 140.91 Pr.upf
Cd 112.41 Cd.upf
Cl 35.45 Cl.upf
ATOMIC_POSITIONS crystal
Rb 0.0000 0.0000 0.0000
Rb 0.0000 0.0000 0.5000
Pr 0.3333 0.6667 0.2500
Pr 0.6667 0.3333 0.7500
Cd 0.3333 0.6667 0.7500
Cd 0.6667 0.3333 0.2500
Cl 0.0111 0.3820 0.6418
Cl 0.0111 0.6290 0.8582
Cl 0.3710 0.3820 0.8582
Cl 0.3710 0.9889 0.6418
Cl 0.3820 0.0111 0.1418
Cl 0.3820 0.3710 0.3582
Cl 0.6180 0.6290 0.6418
Cl 0.6180 0.9889 0.8582
Cl 0.6290 0.0111 0.3582
Cl 0.6290 0.6180 0.1418
Cl 0.9889 0.3710 0.1418
Cl 0.9889 0.6180 0.3582
CELL_PARAMETERS angstrom
7.1293 0.0000 0.0000
-3.5647 6.1742 0.0000
0.0000 0.0000 14.4178
```

# 2
A plane-wave DFT calculation with PBE was carried out for a geometry-optimized CsHIF6 structure. Values from VASP.

Calculated values
Raw total energy ... -3.710 eV/atom
Space-group type ... No. 1
Magnetization ... 0.0 μB per formula unit
Fermi-level density of states ... 1.54 states/eV/f.u.

Quantum ESPRESSO input file:
```
&SYSTEM
  ibrav = 0, nat = 9, ntyp = 4
/
ATOMIC_SPECIES
Cs 132.91 Cs.upf
H 1.01 H.upf
I 126.90 I.upf
F 19.00 F.upf
ATOMIC_POSITIONS crystal
Cs 0.0000 0.0000 0.0000
H 0.7462 0.5076 0.3158
I 0.3353 0.6812 0.5467
F 0.1118 0.2352 0.4166
F 0.2841 0.5718 0.7998
F 0.3836 0.7884 0.2978
F 0.5570 0.1175 0.7051
F 0.7015 0.4181 0.1772
F 0.8207 0.6530 0.5209
CELL_PARAMETERS angstrom
5.0568 0.0000 0.0000
-2.4282 4.4988 0.0000
-0.1869 -1.8517 7.0835
```

# 3
A plane-wave DFT calculation with PBE was carried out for a geometry-optimized SrMg2Pb structure. Values from VASP.

Calculated values
Raw total energy ... -2.318 eV/atom
Space-group type ... No. 25
Energy of formation ... -0.173 eV per atom
Magnetization ... 0.0 μB per formula unit
Fermi-level density of states ... 1.34 states/eV/f.u.

Quantum ESPRESSO input file:
```
&SYSTEM
  ibrav = 0, nat = 4, ntyp = 3
/
ATOMIC_SPECIES
Sr 87.62 Sr.upf
Mg 24.30 Mg.upf
Pb 207.20 Pb.upf
ATOMIC_POSITIONS crystal
Sr 0.0000 0.0000 0.0000
Mg 0.0000 0.0000 0.4999
Mg 0.5000 0.5000 0.3014
Pb 0.5000 0.5000 0.7075
CELL_PARAMETERS angstrom
3.7521 0.0000 0.0000
0.0000 3.9989 0.0000
0.0000 0.0000 7.8978
```

# 4
A plane-wave DFT calculation with PBE was carried out for a geometry-optimized HoMg4Cd8 structure. Values from VASP.

Calculated values
Raw total energy ... -1.543 eV/atom
Space-group type ... No. 139
Energy of formation ... -0.137 eV per atom
Magnetization ... 0.0 μB per formula unit
Fermi-level density of states ... 3.15 states/eV/f.u.

Quantum ESPRESSO input file:
```
&SYSTEM
  ibrav = 0, nat = 13, ntyp = 3
/
ATOMIC_SPECIES
Ho 164.93 Ho.upf
Mg 24.30 Mg.upf
Cd 112.41 Cd.upf
ATOMIC_POSITIONS crystal
Ho 0.0000 0.0000 0.0000
Mg 0.0000 0.0000 0.5000
Mg 0.0000 0.5000 0.0000
Mg 0.5000 0.0000 0.0000
Mg 0.5000 0.5000 0.5000
Cd 0.0000 0.3443 0.3443
Cd 0.0000 0.6557 0.6557
Cd 0.2846 0.5000 0.7846
Cd 0.3443 0.0000 0.3443
Cd 0.5000 0.2846 0.7846
Cd 0.5000 0.7154 0.2154
Cd 0.6557 0.0000 0.6557
Cd 0.7154 0.5000 0.2154
CELL_PARAMETERS angstrom
-4.8985 4.8985 3.0293
4.8985 -4.8985 3.0293
4.8985 4.8985 -3.0293
```

# 5
A plane-wave DFT calculation with PBE was carried out for a geometry-optimized InBi2Ir structure. Values from VASP.

Calculated values
Raw total energy ... -4.642 eV/atom
Space-group type ... No. 166
Energy of formation ... 0.198 eV per atom
Magnetization ... 0.0 μB per formula unit
Fermi-level density of states ... 3.05 states/eV/f.u.

Quantum ESPRESSO input file:
```
&SYSTEM
  ibrav = 0, nat = 12, ntyp = 3
/
ATOMIC_SPECIES
In 114.82 In.upf
Bi 208.98 Bi.upf
Ir 192.22 Ir.upf
ATOMIC_POSITIONS crystal
In 0.0000 0.0000 0.0000
In 0.3333 0.6667 0.6667
In 0.6667 0.3333 0.3333
Bi 0.0000 0.0000 0.1098
Bi 0.0000 0.0000 0.8902
Bi 0.3333 0.6667 0.5568
Bi 0.3333 0.6667 0.7765
Bi 0.6667 0.3333 0.2235
Bi 0.6667 0.3333 0.4432
Ir 0.0000 0.0000 0.5000
Ir 0.3333 0.6667 0.1667
Ir 0.6667 0.3333 0.8333
CELL_PARAMETERS angstrom
3.8121 0.0000 0.0000
-1.9061 3.3014 0.0000
0.0000 0.0000 29.0579
```

# 6
A plane-wave DFT calculation with PBE was carried out for a geometry-optimized Tl3CoRh2S6 structure. Values from VASP.

Calculated values
Raw total energy ... -4.823 eV/atom
Space-group type ... No. 12
Magnetization ... 0.0 μB per formula unit
Fermi-level density of states ... 4.57 states/eV/f.u.
ΔE_f (raw) ... -350 meV/atom

Quantum ESPRESSO input file:
```
&SYSTEM
  ibrav = 0, nat = 12, ntyp = 4
/
ATOMIC_SPECIES
Tl 204.38 Tl.upf
Co 58.93 Co.upf
Rh 102.91 Rh.upf
S 32.06 S.upf
ATOMIC_POSITIONS crystal
Tl 0.0000 0.0000 0.0000
Tl 0.3295 0.6705 0.0000
Tl 0.6705 0.3295 0.0000
Co 0.5000 0.5000 0.5000
Rh 0.1669 0.8331 0.5000
Rh 0.8331 0.1669 0.5000
S 0.1261 0.4472 0.3414
S 0.2328 0.2328 0.6614
S 0.4472 0.1261 0.3414
S 0.5528 0.8739 0.6586
S 0.7672 0.7672 0.3386
S 0.8739 0.5528 0.6586
CELL_PARAMETERS angstrom
3.1187 -5.3940 0.0000
3.1187 5.3940 0.0000
-2.0735 0.0000 7.1708
```

# 7
A plane-wave DFT calculation with PBE was carried out for a geometry-optimized La8PrRu2 structure. Values from VASP.

Calculated values
Raw total energy ... -5.764 eV/atom
Space-group type ... No. 12
Energy of formation ... -0.059 eV per atom
Magnetization ... 0.0 μB per formula unit
Fermi-level density of states ... 12.76 states/eV/f.u.

Quantum ESPRESSO input file:
```
&SYSTEM
  ibrav = 0, nat = 11, ntyp = 3
/
ATOMIC_SPECIES
La 138.91 La.upf
Pr 140.91 Pr.upf
Ru 101.07 Ru.upf
ATOMIC_POSITIONS crystal
La 0.0805 0.6838 0.6986
La 0.1693 0.1693 0.8073
La 0.3162 0.9195 0.3014
La 0.3769 0.3769 0.3045
La 0.6231 0.6231 0.6955
La 0.6838 0.0805 0.6986
La 0.8307 0.8307 0.1927
La 0.9195 0.3162 0.3014
Pr 0.5000 0.5000 0.0000
Ru 0.3000 0.3000 0.5959
Ru 0.7000 0.7000 0.4041
CELL_PARAMETERS angstrom
6.4849 -4.3261 0.0000
6.4849 4.3261 0.0000
-2.6482 0.0000 6.9689
```

# 8
A plane-wave DFT calculation with PBE was carried out for a geometry-optimized CsTl2TcBr8 structure. Values from VASP.

Calculated values
Raw total energy ... -3.186 eV/atom
Space-group type ... No. 2
Magnetization ... 2.0 μB per formula unit
Fermi-level density of states ... 4.32 states/eV/f.u.
ΔE_f (raw) ... -741 meV/atom

Quantum ESPRESSO input file:
```
&SYSTEM
  ibrav = 0, nat = 12, ntyp = 4
/
ATOMIC_SPECIES
Cs 132.91 Cs.upf
Tl 204.38 Tl.upf
Tc 98.00 Tc.upf
Br 79.90 Br.upf
ATOMIC_POSITIONS crystal
Cs 0.0000 0.0000 0.0000
Tl 0.0010 0.5002 0.2438
Tl 0.9990 0.4998 0.7562
Tc 0.0000 0.0000 0.5000
Br 0.2277 0.8019 0.5005
Br 0.2463 0.2180 0.3204
Br 0.2456 0.2186 0.6799
Br 0.2987 0.6819 0.9997
Br 0.7013 0.3181 0.0003
Br 0.7544 0.7814 0.3201
Br 0.7537 0.7820 0.6796
Br 0.7723 0.1981 0.4995
CELL_PARAMETERS angstrom
6.6005 0.0000 0.0000
-2.9737 6.9962 0.0000
-0.0005 -0.0031 9.8372
```

# 9
A plane-wave DFT calculation with PBE was carried out for a geometry-optimized TaPd2Au4 structure. Values from VASP.

Calculated values
Raw total energy ... -5.042 eV/atom
Space-group type ... No. 14
Energy of formation ... 0.008 eV per atom
Magnetization ... 0.0 μB per formula unit
Fermi-level density of states ... 3.72 states/eV/f.u.

Quantum ESPRESSO input file:
```
&SYSTEM
  ibrav = 0, nat = 14, ntyp = 3
/
ATOMIC_SPECIES
Ta 180.95 Ta.upf
Pd 106.42 Pd.upf
Au 196.97 Au.upf
ATOMIC_POSITIONS crystal
Ta 0.0000 0.0000 0.0000
Ta 0.0000 0.5000 0.5000
Pd 0.3042 0.0891 0.3732
Pd 0.3042 0.4109 0.8732
Pd 0.6958 0.5891 0.1268
Pd 0.6958 0.9109 0.6268
Au 0.0873 0.7026 0.8719
Au 0.0873 0.7974 0.3719
Au 0.4651 0.1327 0.8877
Au 0.4651 0.3673 0.3877
Au 0.5349 0.6327 0.6123
Au 0.5349 0.8673 0.1123
Au 0.9127 0.2026 0.6281
Au 0.9127 0.2974 0.1281
CELL_PARAMETERS angstrom
4.8887 0.0000 0.0000
0.0000 9.4102 0.0000
-0.8643 0.0000 5.5795
```

# 10
A plane-wave DFT calculation with PBE was carried out for a geometry-optimized VSi2Rh structure. Values from VASP.

Calculated values
Raw total energy ... -6.877 eV/atom
Space-group type ... No. 122
Magnetization ... 0.9 μB per formula unit
Fermi-level density of states ... 4.17 states/eV/f.u.
ΔE_f (raw) ... -48 meV/atom

Quantum ESPRESSO input file:
```
&SYSTEM
  ibrav = 0, nat = 16, ntyp = 3
/
ATOMIC_SPECIES
V 50.94 V.upf
Si 28.09 Si.upf
Rh 102.91 Rh.upf
ATOMIC_POSITIONS crystal
V 0.0000 0.0000 0.0000
V 0.0000 0.5000 0.2500
V 0.5000 0.0000 0.7500
V 0.5000 0.5000 0.5000
Si 0.2461 0.2500 0.6250
Si 0.2500 0.7461 0.8750
Si 0.2500 0.7539 0.3750
Si 0.2539 0.2500 0.1250
Si 0.7461 0.7500 0.1250
Si 0.7500 0.2461 0.3750
Si 0.7500 0.2539 0.8750
Si 0.7539 0.7500 0.6250
Rh 0.0000 0.0000 0.5000
Rh 0.0000 0.5000 0.7500
Rh 0.5000 0.0000 0.2500
Rh 0.5000 0.5000 0.0000
CELL_PARAMETERS angstrom
3.7552 0.0000 0.0000
0.0000 3.7552 0.0000
0.0000 0.0000 16.8873
```

Number 1 is which compound? RbPrCdCl6

Among the records above, which one has the lowest raw total energy? VSi2Rh

Among the records above, which one has the highest raw total energy? HoMg4Cd8

The lowest Fermi-level density of states belongs to which entry? RbPrCdCl6